No. 1
This record from the Alexandria database describes a relaxed structure of SrLiAgI4. The functional is GGA-PBE.

The value obtained for the density of states at the Fermi level is 0.0 states/eV per cell. The calculation puts the uncorrected formation energy at -7.8 eV per formula unit. As for the total energy: -2.925 eV/atom.

It has space group Imma (No. 74), with a = 9.0034 Å, b = 9.2740 Å, c = 12.8748 Å, α = 90.00°, β = 90.00° and γ = 90.00°. The inequivalent atoms are Sr at (0.0000, 0.0000, 0.0000), Li at (0.2500, 0.2500, 0.2500), Ag at (0.0000, 0.2500, 0.6462), I at (0.0000, 0.0236, 0.2536) and I at (0.2433, 0.2500, 0.4910).

---

No. 2
This record from the Alexandria database describes a relaxed structure of LiTa2AgI. The functional is GGA-PBE.

The value obtained for the density of states at the Fermi level is 4.6 states/eV per cell. The calculation puts the uncorrected formation energy at 8.0 eV per formula unit. As for the total energy: -4.408 eV/atom.

It has space group P4/mmm (No. 123), with a = 5.0488 Å, b = 5.0488 Å, c = 4.6596 Å, α = 90.00°, β = 90.00° and γ = 90.00°. The inequivalent atoms are Li at (0.0000, 0.0000, 0.0000), Ta at (0.0000, 0.5000, 0.5000), Ag at (0.5000, 0.5000, 0.0000) and I at (0.0000, 0.0000, 0.5000).

---

Repeat the second record exactly.
This record from the Alexandria database describes a relaxed structure of LiTa2AgI. The functional is GGA-PBE.

The value obtained for the density of states at the Fermi level is 4.6 states/eV per cell. The calculation puts the uncorrected formation energy at 8.0 eV per formula unit. As for the total energy: -4.408 eV/atom.

It has space group P4/mmm (No. 123), with a = 5.0488 Å, b = 5.0488 Å, c = 4.6596 Å, α = 90.00°, β = 90.00° and γ = 90.00°. The inequivalent atoms are Li at (0.0000, 0.0000, 0.0000), Ta at (0.0000, 0.5000, 0.5000), Ag at (0.5000, 0.5000, 0.0000) and I at (0.0000, 0.0000, 0.5000).

---

Q: Which of these has the lowest uncorrected formation energy?
A: SrLiAgI4